# 1
Density functional theory data (PBE) for a relaxed ErCd7Ag4 crystal.

Cell lengths 5.510, 9.112, 6.353 Å; angles 81.74, 64.30, 72.40 degrees
Fractional positions:
Er: 0.000 0.000 0.000
Cd: 0.785 0.903 0.528
Cd: 0.215 0.097 0.472
Cd: 0.046 0.625 0.283
Cd: 0.954 0.375 0.717
Cd: 0.338 0.569 0.756
Cd: 0.500 0.000 0.000
Cd: 0.662 0.431 0.244
Ag: 0.577 0.224 0.621
Ag: 0.423 0.776 0.379
Ag: 0.712 0.679 0.898
Ag: 0.288 0.321 0.102

Values from the calculation:
* calculated density: 8401 kg/m³
* raw total energy: -21.4 eV/cell
* space group: C2/m (12)

# 2
Density functional theory data (PBE) for a relaxed Li2BeNi crystal.

Cell lengths 4.918, 4.918, 4.918 Å; angles 149.35, 127.93, 61.64 degrees
Fractional positions:
Be: 0.274 0.774 0.500
Li: 0.015 0.015 0.000
Li: 0.738 0.238 0.500
Ni: 0.472 0.472 0.000

Values from the calculation:
* calculated density: 2858 kg/m³
* raw total energy: -13.1 eV/cell
* space group: Imm2 (44)

# 3
Density functional theory data (PBE) for a relaxed Zr2CoRh crystal.

Cell lengths 7.417, 7.417, 7.417 Å; angles 26.62, 26.62, 26.62 degrees
Fractional positions:
Co: 0.250 0.250 0.250
Rh: 0.750 0.750 0.750
Zr: 0.995 0.995 0.995
Zr: 0.505 0.505 0.505

Values from the calculation:
* calculated density: 7914 kg/m³
* raw total energy: -32.6 eV/cell
* space group: R-3m (166)

# 4
Density functional theory data (PBE) for a relaxed PmSc2Au crystal.

Cell lengths 3.550, 3.550, 9.737 Å; angles 79.50, 79.50, 60.00 degrees
Fractional positions:
Pm: 0.502 0.502 0.495
Sc: 0.067 0.067 0.798
Sc: 0.265 0.265 0.204
Au: 0.666 0.666 0.003

Values from the calculation:
* calculated density: 6903 kg/m³
* raw total energy: -21.6 eV/cell
* space group: R3m (160)